Th4CuB3Rh12 (PBE, optimized geometry); ΔE_f = -0.739 eV per atom; E_tot = -156.80 eV/cell; SG = No. 229
1.0
-4.346 4.346 4.346
4.346 -4.346 4.346
4.346 4.346 -4.346
Th Cu B Rh
4 1 3 12
Cartesian
2.173 2.173 -2.173
2.173 -2.173 2.173
-2.173 2.173 2.173
2.173 2.173 2.173
0.000 0.000 0.000
4.346 0.000 0.000
0.000 4.346 0.000
0.000 0.000 4.346
2.363 0.000 0.000
6.328 0.000 0.000
4.346 2.173 0.000
4.346 0.000 2.173
0.000 2.363 0.000
0.000 0.000 2.363
2.173 4.346 0.000
2.173 0.000 4.346
0.000 6.328 0.000
0.000 0.000 6.328
0.000 4.346 2.173
0.000 2.173 4.346